Compound: UVCoO6
Source: Alexandria via LeMat-Bulk
Functional: PBE with a Hubbard U
Structure: optimized geometry

The structure in POSCAR format:
```
UVCoO6
1.0
5.311 0.000 0.000
-2.655 4.599 0.000
0.000 0.000 8.860
U V Co O
2 2 2 12
Direct
0.333 0.667 0.250
0.667 0.333 0.750
0.333 0.667 0.750
0.667 0.333 0.250
0.000 0.000 0.000
0.000 0.000 0.500
0.017 0.353 0.632
0.017 0.664 0.868
0.336 0.353 0.868
0.336 0.983 0.632
0.353 0.017 0.132
0.353 0.336 0.368
0.647 0.664 0.632
0.647 0.983 0.868
0.664 0.017 0.368
0.664 0.647 0.132
0.983 0.336 0.132
0.983 0.647 0.368
```

As for the volume: 12.02 A^3/atom. For the total energy, the calculation gives -8.109 eV per atom. The value obtained for the total magnetization is 8.00 μB per cell.